A relaxed TaTiAu crystal. Source: the Alexandria database, functional PBE.

Cell and atoms, written as POSCAR:
```
TaTiAu
1.0
3.8719 0.0000 0.0000
0.0000 3.8719 0.0000
0.0000 0.0000 7.3624
Ta Ti Au
2 2 2
Direct
0.0000 0.0000 0.5000
0.5000 0.5000 0.5000
0.5000 0.0000 0.8511
0.0000 0.5000 0.1489
0.5000 0.0000 0.2090
0.0000 0.5000 0.7910
```

Its space-group type is P4/nmm. The value obtained for the calculated formation energy is -31.1 meV per atom. The total moment comes out at 0.00 Bohr magnetons per cell. As for the total DFT energy (no corrections): -7.71 eV/atom.